(1)
A plane-wave DFT calculation with PBE was carried out for crystalline Na2CuTeF at its relaxed geometry.

Cell lengths 5.8591, 5.8591, 4.7484 Å; angles 90.00, 90.00, 90.00 degrees
Element x y z (fractional)
Na 0.0000 0.5000 0.0000
Na 0.5000 0.0000 0.0000
Cu 0.0000 0.0000 0.5000
Te 0.0000 0.0000 0.0000
F 0.5000 0.5000 0.5000

Calculated values
Formation energy without anion corrections ... -0.750 eV/atom
Space group ... No. 123



(2)
A plane-wave DFT calculation with PBE was carried out for crystalline SrMg4Re at its relaxed geometry.

Cell lengths 5.7788, 5.7788, 5.7788 Å; angles 60.00, 60.00, 60.00 degrees
Element x y z (fractional)
Sr 0.0000 0.0000 0.0000
Mg 0.1311 0.6230 0.6230
Mg 0.6230 0.1311 0.6230
Mg 0.6230 0.6230 0.1311
Mg 0.6230 0.6230 0.6230
Re 0.2500 0.2500 0.2500

Calculated values
Energy of formation ... 536 meV per atom
Space group ... No. 216



(3)
A plane-wave DFT calculation with PBE was carried out for crystalline BeAlNiIr at its relaxed geometry.

Cell lengths 2.8887, 2.8887, 5.5506 Å; angles 90.00, 90.00, 90.00 degrees
Element x y z (fractional)
Be 0.0000 0.0000 0.0000
Al 0.0000 0.0000 0.5131
Ni 0.5000 0.5000 0.7656
Ir 0.5000 0.5000 0.2338

Calculated values
Energy of formation ... -670 meV per atom
Energy above the lowest structure with this stoichiometry ... 0 meV per atom
Space group ... No. 99



(4)
A plane-wave DFT calculation with PBE was carried out for crystalline CaTePS2 at its relaxed geometry.

Cell lengths 5.1097, 5.1097, 5.3847 Å; angles 90.00, 90.00, 90.00 degrees
Element x y z (fractional)
Ca 0.0000 0.0000 0.0000
Te 0.5000 0.5000 0.5000
P 0.0000 0.0000 0.5000
S 0.0000 0.5000 0.0000
S 0.5000 0.0000 0.0000

Calculated values
Formation energy without anion corrections ... 0.582 eV/atom
Energy above the lowest structure with this stoichiometry ... 650 meV per atom
Space group ... No. 123